Compound: SrZrPCl2
Source: Alexandria
Functional: PBE-GGA
Structure: optimized geometry

Unit cell a=5.0081 b=5.0081 c=5.2185 alpha=90.00 beta=90.00 gamma=90.00
Last column: nearest neighbours and their distance in Å.
Space group P4/mmm (No. 123)
Unique sites:
Sr: 0.0000 0.0000 0.0000 [1 per cell]  4 P 3.54, 8 Cl 3.62
Zr: 0.5000 0.5000 0.5000 [1 per cell]  4 Cl 2.50, 2 P 2.61
P: 0.5000 0.5000 0.0000 [1 per cell]  2 Zr 2.61
Cl: 0.0000 0.5000 0.5000 [2 per cell]  2 Zr 2.50

Total DFT energy (no corrections) (eV/atom): -5.14
Offset from the most stable computed form (meV/atom): 0.0
ΔE_f (raw) (meV/atom): -1276